Record 1
## SmP2Rh5Pb (GGA-PBE)

Data for a relaxed structure of SmP2Rh5Pb.

The structure belongs to space group P4/mmm (No. 123); the cell edges are 4.084, 4.084 and 10.265 Å and the angles 90.00°, 90.00° and 90.00°. The distinct sites, in fractional coordinates, are Sm at (0.000, 0.000, 0.000), P at (0.500, 0.500, 0.220), Rh at (0.000, 0.500, 0.314), Rh at (0.500, 0.500, 0.000) and Pb at (0.000, 0.000, 0.500).

The density of states at the Fermi level is 0.326 states/eV/atom. Its formation energy from the elements is -5.34 eV per formula unit. The calculation puts the energy at -6.816 eV per atom.

---

Record 2
## Sr2PRhPb (GGA-PBE)

Data for a relaxed structure of Sr2PRhPb.

The structure belongs to space group P4/mmm (No. 123); the cell edges are 5.582, 5.582 and 5.114 Å and the angles 90.00°, 90.00° and 90.00°. The distinct sites, in fractional coordinates, are Sr at (0.000, 0.500, 0.000), P at (0.000, 0.000, 0.500), Rh at (0.500, 0.500, 0.000) and Pb at (0.500, 0.500, 0.500).

The density of states at the Fermi level is 0.165 states/eV/atom. Its formation energy from the elements is -1.11 eV per formula unit. The calculation puts the energy at -4.189 eV per atom.

---

Record 3
## Tb2P3Rh12Pb (GGA-PBE)

Data for a relaxed structure of Tb2P3Rh12Pb.

The structure belongs to space group R-3m (No. 166, hexagonal axes); the cell edges are 8.9707, 8.9707 and 12.9146 Å and the angles 90.00°, 90.00° and 120.00°. The distinct sites, in fractional coordinates, are Tb at (0.0000, 0.0000, 0.1256), P at (0.0000, 0.5000, 0.0000), Rh at (0.0104, 0.5052, 0.8282), Rh at (0.0236, 0.5118, 0.3819) and Pb at (0.0000, 0.0000, 0.5000).

The density of states at the Fermi level is 0.935 states/eV/atom. Its formation energy from the elements is -4.22 eV per formula unit. The calculation puts the energy at -6.757 eV per atom.